# TaInCo2 (GGA-PBE, relaxed)
# SG	P4/mmm, No. 123
# theoretical density	11.6	Mg/m³
# energy of formation from the pure elements	0.014	eV/atom
# N(E_F)	2.68	states/eV/cell
data_TaInCo2
_cell_length_a 4.372
_cell_length_b 4.371
_cell_length_c 3.086
_cell_angle_alpha 90.00
_cell_angle_beta 90.00
_cell_angle_gamma 90.00
_symmetry_space_group_name_H-M 'P 1'
_symmetry_Int_Tables_number 1
loop_
_symmetry_equiv_pos_as_xyz
'x,y,z'
loop_
_atom_site_label
_atom_site_type_symbol
_atom_site_fract_x
_atom_site_fract_y
_atom_site_fract_z
In1 In 0.500 0.000 0.500
Co1 Co 0.000 0.000 0.000
Co2 Co 0.500 0.500 0.000
Ta1 Ta 0.000 0.500 0.500

# TiFePCl2 (GGA-PBE, relaxed)
# SG	P4/mmm, No. 123
# distance to the lowest polymorph of the same formula	0	meV/atom
# theoretical density	3.2	Mg/m³
# N(E_F)	6.96	states/eV/cell
data_TiFePCl2
_cell_length_a 4.616
_cell_length_b 4.616
_cell_length_c 5.071
_cell_angle_alpha 90.00
_cell_angle_beta 90.00
_cell_angle_gamma 90.00
_symmetry_space_group_name_H-M 'P 1'
_symmetry_Int_Tables_number 1
loop_
_symmetry_equiv_pos_as_xyz
'x,y,z'
loop_
_atom_site_label
_atom_site_type_symbol
_atom_site_fract_x
_atom_site_fract_y
_atom_site_fract_z
Fe1 Fe 0.500 0.500 0.500
Cl1 Cl 0.000 0.500 0.000
Cl2 Cl 0.500 0.000 0.000
Ti1 Ti 0.000 0.000 0.000
P1 P 0.000 0.000 0.500

# ScTc2Rh (GGA-PBE, relaxed)
# SG	P4mm, No. 99
# distance to the lowest polymorph of the same formula	0	meV/atom
# theoretical density	9.0	Mg/m³
# energy of formation from the pure elements	-0.213	eV/atom
# N(E_F)	4.73	states/eV/cell
data_ScTc2Rh
_cell_length_a 3.102
_cell_length_b 3.102
_cell_length_c 6.558
_cell_angle_alpha 90.00
_cell_angle_beta 90.00
_cell_angle_gamma 90.00
_symmetry_space_group_name_H-M 'P 1'
_symmetry_Int_Tables_number 1
loop_
_symmetry_equiv_pos_as_xyz
'x,y,z'
loop_
_atom_site_label
_atom_site_type_symbol
_atom_site_fract_x
_atom_site_fract_y
_atom_site_fract_z
Tc1 Tc 0.500 0.500 0.229
Tc2 Tc 0.000 0.000 0.019
Rh1 Rh 0.000 0.000 0.509
Sc1 Sc 0.500 0.500 0.743

# Ba2CaHg (GGA-PBE, relaxed)
# SG	Cm, No. 8
# distance to the lowest polymorph of the same formula	17	meV/atom
# theoretical density	4.8	Mg/m³
# energy of formation from the pure elements	-0.245	eV/atom
# N(E_F)	5.07	states/eV/cell
data_Ba2CaHg
_cell_length_a 7.674
_cell_length_b 7.674
_cell_length_c 6.289
_cell_angle_alpha 65.83
_cell_angle_beta 65.83
_cell_angle_gamma 31.92
_symmetry_space_group_name_H-M 'P 1'
_symmetry_Int_Tables_number 1
loop_
_symmetry_equiv_pos_as_xyz
'x,y,z'
loop_
_atom_site_label
_atom_site_type_symbol
_atom_site_fract_x
_atom_site_fract_y
_atom_site_fract_z
Ba1 Ba 0.754 0.754 0.746
Ba2 Ba 0.948 0.948 0.052
Ca1 Ca 0.559 0.559 0.441
Hg1 Hg 0.239 0.239 0.260

# AcYCuGe (GGA-PBE, relaxed)
# SG	F-43m, No. 216
# theoretical density	7.4	Mg/m³
# energy of formation from the pure elements	-0.378	eV/atom
# N(E_F)	4.13	states/eV/cell
data_AcYCuGe
_cell_length_a 5.242
_cell_length_b 5.242
_cell_length_c 5.242
_cell_angle_alpha 60.00
_cell_angle_beta 60.00
_cell_angle_gamma 60.00
_symmetry_space_group_name_H-M 'P 1'
_symmetry_Int_Tables_number 1
loop_
_symmetry_equiv_pos_as_xyz
'x,y,z'
loop_
_atom_site_label
_atom_site_type_symbol
_atom_site_fract_x
_atom_site_fract_y
_atom_site_fract_z
Y1 Y 0.250 0.250 0.250
Cu1 Cu 0.500 0.500 0.500
Ac1 Ac 0.750 0.750 0.750
Ge1 Ge 0.000 0.000 0.000

# Ge2BiAs2 (GGA-PBE, relaxed)
# SG	P4/mbm, No. 127
# distance to the lowest polymorph of the same formula	57	meV/atom
# theoretical density	7.7	Mg/m³
# energy of formation from the pure elements	0.323	eV/atom
# N(E_F)	6.65	states/eV/cell
data_Ge2BiAs2
_cell_length_a 7.920
_cell_length_b 7.920
_cell_length_c 3.484
_cell_angle_alpha 90.00
_cell_angle_beta 90.00
_cell_angle_gamma 90.00
_symmetry_space_group_name_H-M 'P 1'
_symmetry_Int_Tables_number 1
loop_
_symmetry_equiv_pos_as_xyz
'x,y,z'
loop_
_atom_site_label
_atom_site_type_symbol
_atom_site_fract_x
_atom_site_fract_y
_atom_site_fract_z
Ge1 Ge 0.633 0.133 0.000
Ge2 Ge 0.133 0.367 0.000
Ge3 Ge 0.867 0.633 0.000
Ge4 Ge 0.367 0.867 0.000
As1 As 0.155 0.655 0.500
As2 As 0.655 0.845 0.500
As3 As 0.845 0.345 0.500
As4 As 0.345 0.155 0.500
Bi1 Bi 0.500 0.500 0.000
Bi2 Bi 0.000 0.000 0.000